Record 1
An optimized crystal structure of Ta3FeOs, computed with PBE.

Computed properties:
Relative energy among the computed polymorphs = 0.0 meV/atom
Symmetry = Pm-3m (221)
Energy of formation = 903 meV per atom
Crystal system = cubic
Total energy = -50.7 eV/cell

Cell lengths 4.492, 4.492, 4.492 Å; angles 90.00, 90.00, 90.00 degrees
Fractional positions:
Ta 0.000 0.000 0.500
Ta 0.000 0.500 0.000
Ta 0.500 0.000 0.000
Fe 0.000 0.000 0.000
Os 0.500 0.500 0.500

Record 2
An optimized crystal structure of PmP2Pd4, computed with PBE.

Computed properties:
Symmetry = P4_2/mnm (136)
Energy of formation = -818 meV per atom
Crystal system = tetragonal
Total energy = -84.1 eV/cell

Cell lengths 7.716, 7.716, 3.885 Å; angles 90.00, 90.00, 90.00 degrees
Fractional positions:
Pm 0.000 0.000 0.000
Pm 0.500 0.500 0.500
P 0.222 0.222 0.500
P 0.278 0.722 0.000
P 0.722 0.278 0.000
P 0.778 0.778 0.500
Pd 0.082 0.670 0.500
Pd 0.170 0.418 0.000
Pd 0.330 0.918 0.500
Pd 0.418 0.170 0.000
Pd 0.582 0.830 0.000
Pd 0.670 0.082 0.500
Pd 0.830 0.582 0.000
Pd 0.918 0.330 0.500

Record 3
An optimized crystal structure of CsAsPd2, computed with PBE.

Computed properties:
Symmetry = R-3m (166)
Energy of formation = -337 meV per atom
Crystal system = trigonal
Total energy = -17.2 eV/cell

Cell lengths 6.929, 6.929, 6.929 Å; angles 37.20, 37.20, 37.20 degrees
Fractional positions:
Cs 0.000 0.000 0.000
As 0.500 0.500 0.500
Pd 0.189 0.189 0.189
Pd 0.811 0.811 0.811

Record 4
An optimized crystal structure of LaAl2I, computed with PBE.

Computed properties:
Relative energy among the computed polymorphs = 0.0 meV/atom
Symmetry = I-42d (122)
Crystal system = tetragonal
ΔE_f (raw) = 0.08 eV/atom
Total energy = -27.2 eV/cell

Cell lengths 6.874, 6.874, 6.874 Å; angles 101.90, 101.90, 125.98 degrees
Fractional positions:
La 0.000 0.000 0.000
La 0.750 0.250 0.500
Al 0.131 0.625 0.006
Al 0.375 0.381 0.506
Al 0.619 0.125 0.994
Al 0.875 0.869 0.494
I 0.250 0.750 0.500
I 0.500 0.500 0.000

Q: Which formula does entry 4 have?
A: LaAl2I

Q: total energy of number 3 (CsAsPd2)?
A: -17.2 eV/cell

Repeat the first record exactly.
An optimized crystal structure of Ta3FeOs, computed with PBE.

Computed properties:
Relative energy among the computed polymorphs = 0.0 meV/atom
Symmetry = Pm-3m (221)
Energy of formation = 903 meV per atom
Crystal system = cubic
Total energy = -50.7 eV/cell

Cell lengths 4.492, 4.492, 4.492 Å; angles 90.00, 90.00, 90.00 degrees
Fractional positions:
Ta 0.000 0.000 0.500
Ta 0.000 0.500 0.000
Ta 0.500 0.000 0.000
Fe 0.000 0.000 0.000
Os 0.500 0.500 0.500

Q: Which formula does entry 1 have?
A: Ta3FeOs